[1]
An optimized crystal structure of TaGa3Co, computed with GGA-PBE.

Geometry as POSCAR:
```
TaGa3Co
1.0
4.968 0.000 0.000
0.000 4.968 0.000
0.000 0.000 4.968
Ta Ga Co
1 3 1
direct
0.000 0.000 0.000
0.000 0.000 0.500
0.000 0.500 0.000
0.500 0.000 0.000
0.500 0.500 0.500
```

Computed properties:
Energy of formation from the pure elements in eV per atom: 1.13
Relative energy among the computed polymorphs in eV/atom: 0.609

---

[2]
An optimized crystal structure of La3Tb2SmS6, computed with GGA-PBE.

Geometry as POSCAR:
```
La3Tb2SmS6
1.0
3.496 -6.068 0.000
3.496 6.068 0.000
-2.342 0.000 6.662
La Tb Sm S
3 2 1 6
direct
0.000 0.000 0.000
0.335 0.665 0.000
0.665 0.335 0.000
0.167 0.833 0.500
0.833 0.167 0.500
0.500 0.500 0.500
0.084 0.422 0.265
0.240 0.240 0.733
0.422 0.084 0.265
0.578 0.916 0.735
0.760 0.760 0.267
0.916 0.578 0.735
```

Computed properties:
DFT total energy in eV/atom: -6.559